(1)
# Ag2MoRh, relaxed, DFT PBE
# energy above the lowest structure with this stoichiometry	29.33	kJ/mol of atoms
# total magnetization	0.0001	μB per atom
# E_form	0.4218	eV per atom
# crystal system	tetragonal
data_Ag2MoRh
_chemical_formula_sum 'Ag4 Mo2 Rh2'
_symmetry_space_group_name_H-M 'I -4 m 2'
_symmetry_Int_Tables_number 119
_symmetry_space_group_name_Hall 'I -4 -2'
_cell_length_a 4.052
_cell_length_b 4.052
_cell_length_c 7.813
_cell_angle_alpha 90.00
_cell_angle_beta 90.00
_cell_angle_gamma 90.00
loop_
_atom_site_label
_atom_site_type_symbol
_atom_site_fract_x
_atom_site_fract_y
_atom_site_fract_z
Ag1 Ag 0.000 0.000 0.000
Ag2 Ag 0.000 0.500 0.250
Mo1 Mo 0.000 0.500 0.750
Rh1 Rh 0.000 0.000 0.500


(2)
# Th2TeI, relaxed, DFT PBE
# energy above the lowest structure with this stoichiometry	0.16	kJ/mol of atoms
# total magnetization	0.0000	μB per atom
# E_form (uncorrected)	-705	meV per atom
# crystal system	cubic
data_Th2TeI
_chemical_formula_sum 'Th8 Te4 I4'
_symmetry_space_group_name_H-M 'F m -3 m'
_symmetry_Int_Tables_number 225
_symmetry_space_group_name_Hall '-F 4 2 3'
_cell_length_a 7.747
_cell_length_b 7.747
_cell_length_c 7.747
_cell_angle_alpha 90.00
_cell_angle_beta 90.00
_cell_angle_gamma 90.00
loop_
_atom_site_label
_atom_site_type_symbol
_atom_site_fract_x
_atom_site_fract_y
_atom_site_fract_z
Th1 Th 0.250 0.250 0.250
Te1 Te 0.000 0.000 0.000
I1 I 0.000 0.000 0.500


(3)
# NaSnB, relaxed, DFT PBE
# total magnetization	0.0000	μB per atom
# E_form	0.5989	eV per atom
# crystal system	orthorhombic
data_NaSnB
_chemical_formula_sum 'Na6 Sn6 B6'
_symmetry_space_group_name_H-M 'I m m 2'
_symmetry_Int_Tables_number 44
_cell_length_a 4.009
_cell_length_b 13.659
_cell_length_c 6.212
_cell_angle_alpha 90.00
_cell_angle_beta 90.00
_cell_angle_gamma 90.00
loop_
_symmetry_equiv_pos_as_xyz
'x,y,z'
'-x,-y,z'
'-x,y,z'
'x,-y,z'
'x+1/2,y+1/2,z+1/2'
'-x+1/2,-y+1/2,z+1/2'
'-x+1/2,y+1/2,z+1/2'
'x+1/2,-y+1/2,z+1/2'
loop_
_atom_site_label
_atom_site_type_symbol
_atom_site_fract_x
_atom_site_fract_y
_atom_site_fract_z
Na1 Na 0.000 0.000 0.000
Na2 Na 0.000 0.386 0.732
Sn1 Sn 0.000 0.193 0.561
Sn2 Sn 0.000 0.500 0.168
B1 B 0.000 0.000 0.456
B2 B 0.000 0.310 0.265


(4)
# Hf2Ga4Tc3, relaxed, DFT PBE
# total magnetization	0.0000	μB per atom
# E_form	-0.3197	eV per atom
# crystal system	orthorhombic
data_Hf2Ga4Tc3
_chemical_formula_sum 'Hf8 Ga16 Tc12'
_symmetry_space_group_name_H-M 'F m m m'
_symmetry_Int_Tables_number 69
_symmetry_space_group_name_Hall '-F 2 2'
_cell_length_a 5.218
_cell_length_b 9.085
_cell_length_c 12.806
_cell_angle_alpha 90.00
_cell_angle_beta 90.00
_cell_angle_gamma 90.00
loop_
_atom_site_label
_atom_site_type_symbol
_atom_site_fract_x
_atom_site_fract_y
_atom_site_fract_z
Hf1 Hf 0.000 0.000 0.124
Ga1 Ga 0.000 0.160 0.327
Tc1 Tc 0.000 0.000 0.500
Tc2 Tc 0.250 0.250 0.000


(5)
# NaCe2TlTe4, relaxed, DFT PBE
# total magnetization	0.2501	μB per atom
# E_form (uncorrected)	-1121	meV per atom
# crystal system	monoclinic
data_NaCe2TlTe4
_chemical_formula_sum 'Na1 Ce2 Tl1 Te4'
_symmetry_space_group_name_H-M 'P 1 2/m 1'
_symmetry_Int_Tables_number 10
_cell_length_a 7.954
_cell_length_b 4.588
_cell_length_c 8.328
_cell_angle_alpha 90.00
_cell_angle_beta 108.66
_cell_angle_gamma 90.00
loop_
_symmetry_equiv_pos_as_xyz
'x,y,z'
'-x,-y,-z'
'-x,y,-z'
'x,-y,z'
loop_
_atom_site_label
_atom_site_type_symbol
_atom_site_fract_x
_atom_site_fract_y
_atom_site_fract_z
Na1 Na 0.000 0.000 0.000
Ce1 Ce 0.000 0.500 0.500
Ce2 Ce 0.500 0.000 0.500
Tl1 Tl 0.500 0.500 0.000
Te1 Te 0.239 0.000 0.725
Te2 Te 0.253 0.500 0.271


(6)
# ZrHg2As, relaxed, DFT PBE
# total magnetization	0.0000	μB per atom
# E_form	-0.1116	eV per atom
# crystal system	tetragonal
data_ZrHg2As
_chemical_formula_sum 'Zr1 Hg2 As1'
_symmetry_space_group_name_H-M 'P 4 m m'
_symmetry_Int_Tables_number 99
_cell_length_a 3.083
_cell_length_b 3.083
_cell_length_c 9.764
_cell_angle_alpha 90.00
_cell_angle_beta 90.00
_cell_angle_gamma 90.00
loop_
_symmetry_equiv_pos_as_xyz
'x,y,z'
'-y,x,z'
'-x,-y,z'
'y,-x,z'
'-x,y,z'
'y,x,z'
'x,-y,z'
'-y,-x,z'
loop_
_atom_site_label
_atom_site_type_symbol
_atom_site_fract_x
_atom_site_fract_y
_atom_site_fract_z
Zr1 Zr 0.000 0.000 0.000
Hg1 Hg 0.000 0.000 0.500
Hg2 Hg 0.500 0.500 0.770
As1 As 0.500 0.500 0.197